Entry from the Alexandria database: a relaxed ErPuCl5 crystal (PBE-GGA).

formation energy from raw total energies	-1.971	eV/atom

Cell: 7.026 7.026 9.868 Å, 106.66 106.66 89.42°
Fractional positions:
Er: 0.000 0.500 0.000
Er: 0.500 0.000 0.500
Pu: 0.075 0.925 0.750
Pu: 0.925 0.075 0.250
Cl: 0.196 0.208 0.539
Cl: 0.208 0.196 0.039
Cl: 0.212 0.602 0.856
Cl: 0.229 0.771 0.250
Cl: 0.398 0.788 0.644
Cl: 0.602 0.212 0.356
Cl: 0.771 0.229 0.750
Cl: 0.788 0.398 0.144
Cl: 0.792 0.804 0.961
Cl: 0.804 0.792 0.461



Entry from the Alexandria database: a relaxed PIrW2 crystal (PBE-GGA).

ΔH_f (0 K)	-0.009	eV per atom

Cell: 5.146 5.146 5.146 Å, 146.48 127.70 63.57°
Fractional positions:
P: 0.000 0.000 0.000
Ir: 0.500 0.500 0.000
W: 0.222 0.722 0.500
W: 0.778 0.278 0.500



Entry from the Alexandria database: a relaxed Ho3Ge5Pt6 crystal (PBE-GGA).

ΔH_f (0 K)	-0.899	eV per atom

Cell: 4.159 12.949 9.544 Å, 90.00 90.00 90.00°
Fractional positions:
Ho: 0.250 0.079 0.244
Ho: 0.250 0.421 0.244
Ho: 0.250 0.750 0.255
Ho: 0.750 0.250 0.745
Ho: 0.750 0.579 0.756
Ho: 0.750 0.921 0.756
Ge: 0.250 0.084 0.849
Ge: 0.250 0.416 0.849
Ge: 0.250 0.636 0.542
Ge: 0.250 0.750 0.828
Ge: 0.250 0.864 0.542
Ge: 0.750 0.136 0.458
Ge: 0.750 0.250 0.172
Ge: 0.750 0.364 0.458
Ge: 0.750 0.584 0.151
Ge: 0.750 0.916 0.151
Pt: 0.250 0.053 0.595
Pt: 0.250 0.250 0.005
Pt: 0.250 0.250 0.487
Pt: 0.250 0.447 0.595
Pt: 0.250 0.584 0.008
Pt: 0.250 0.916 0.008
Pt: 0.750 0.084 0.992
Pt: 0.750 0.416 0.992
Pt: 0.750 0.553 0.405
Pt: 0.750 0.750 0.513
Pt: 0.750 0.750 0.995
Pt: 0.750 0.947 0.405



Entry from the Alexandria database: a relaxed Ba2HgTePt crystal (PBE-GGA).

formation energy from raw total energies	-0.920	eV/atom

Cell: 6.062 6.062 5.232 Å, 90.00 90.00 90.00°
Fractional positions:
Ba: 0.000 0.500 0.000
Ba: 0.500 0.000 0.000
Hg: 0.000 0.000 0.500
Te: 0.500 0.500 0.500
Pt: 0.000 0.000 0.000



Entry from the Alexandria database: a relaxed AlPd3 crystal (PBE-GGA).

ΔH_f (0 K)	-0.594	eV per atom

Cell: 5.229 5.229 5.229 Å, 147.06 62.27 128.76°
Fractional positions:
Al: 0.000 0.000 0.000
Pd: 0.226 0.502 0.724
Pd: 0.501 0.001 0.500
Pd: 0.777 0.502 0.276



Entry from the Alexandria database: a relaxed CuBi2Pt2 crystal (PBE-GGA).

ΔH_f (0 K)	-0.023	eV per atom
ΔE to the lowest computed polymorph	0	meV per atom

Cell: 7.118 7.118 4.149 Å, 90.00 90.00 90.00°
Fractional positions:
Cu: 0.000 0.000 0.000
Cu: 0.500 0.500 0.000
Bi: 0.167 0.333 0.500
Bi: 0.333 0.833 0.500
Bi: 0.667 0.167 0.500
Bi: 0.833 0.667 0.500
Pt: 0.142 0.642 0.000
Pt: 0.358 0.142 0.000
Pt: 0.642 0.858 0.000
Pt: 0.858 0.358 0.000



| no. | density of states at the Fermi level (states/eV per atom) | energy (eV per atom) |
| --- | --- | --- |
| 1 | 2.72 | -5.989 |
| 2 | 0.62 | -10.054 |
| 3 | 0.47 | -6.118 |
| 4 | 0.32 | -3.586 |
| 5 | 0.63 | -5.424 |
| 6 | 0.59 | -4.811 |